Compound: Y2FeO5
Source: the Alexandria database
Functional: PBE+U
Structure: relaxed

The structure in POSCAR format:
```
Y2FeO5
1.0
10.432 0.000 0.000
0.000 3.714 0.000
0.000 0.000 11.309
Y Fe O
8 4 20
Direct
0.101 0.250 0.221 Y
0.136 0.250 0.558 Y
0.364 0.750 0.058 Y
0.399 0.750 0.721 Y
0.601 0.250 0.279 Y
0.636 0.250 0.942 Y
0.864 0.750 0.442 Y
0.899 0.750 0.779 Y
0.186 0.250 0.878 Fe
0.314 0.750 0.378 Fe
0.686 0.250 0.622 Fe
0.814 0.750 0.122 Fe
0.011 0.750 0.602 O
0.015 0.250 0.834 O
0.219 0.250 0.041 O
0.238 0.750 0.226 O
0.246 0.750 0.881 O
0.254 0.250 0.381 O
0.262 0.250 0.726 O
0.281 0.750 0.541 O
0.485 0.750 0.334 O
0.489 0.250 0.102 O
0.511 0.750 0.898 O
0.515 0.250 0.666 O
0.719 0.250 0.459 O
0.738 0.750 0.274 O
0.746 0.750 0.619 O
0.754 0.250 0.119 O
0.762 0.250 0.774 O
0.781 0.750 0.959 O
0.985 0.750 0.166 O
0.989 0.250 0.398 O
```

The raw total energy is -8.051 eV per atom.